! Fe2Ni7Rh2 | the Alexandria database | PBE-GGA | optimized geometry; values from VASP
&SYSTEM
  ibrav = 0, nat = 11, ntyp = 3
/
ATOMIC_SPECIES
Fe 55.84 Fe.upf
Ni 58.69 Ni.upf
Rh 102.91 Rh.upf
CELL_PARAMETERS angstrom
4.298 -0.314 -0.359
-0.618 5.668 0.872
-0.618 0.111 5.734
ATOMIC_POSITIONS crystal
Fe 0.234 0.245 0.245
Fe 0.766 0.755 0.755
Ni 0.730 0.049 0.399
Ni 0.270 0.601 0.951
Ni 0.270 0.951 0.601
Ni 0.730 0.399 0.049
Ni 0.500 0.000 0.000
Ni 0.279 0.544 0.544
Ni 0.721 0.456 0.456
Rh 0.000 0.193 0.807
Rh 0.000 0.807 0.193
! space-group type	C2/m
! DFT formation energy	2.11	eV per formula unit
! Fermi-level density of states	1.420	states/eV per atom
! total magnetic moment	11.47	μB/f.u.
! ΔE to the lowest computed polymorph	72	meV per atom